Entry 1:
{"formula": "Co2NiIr", "functional": "PBE", "state": "optimized geometry", "space_group": "No. 65", "formation_energy_mev_per_atom": 24, "vol_a3_per_atom": 12.04, "lattice_angstrom": [[4.429, 0.017, 0.000], [-1.451, 4.184, 0.000], [0.000, 0.000, 2.596]], "species": ["Ni", "Ir", "Co", "Co"], "frac_coords": [[0.000, 0.500, 0.500], [0.500, 0.000, 0.500], [0.000, 0.000, 0.000], [0.500, 0.500, 0.000]]}

=====

Entry 2:
{"formula": "Co2Ni2Ir7", "functional": "PBE", "state": "optimized geometry", "space_group": "No. 12", "formation_energy_mev_per_atom": 369, "vol_a3_per_atom": 14.46, "lattice_angstrom": [[4.572, -0.152, -0.173], [-0.481, 5.889, 0.959], [-0.481, 0.167, 5.965]], "species": ["Co", "Co", "Ni", "Ni", "Ir", "Ir", "Ir", "Ir", "Ir", "Ir", "Ir"], "frac_coords": [[0.246, 0.231, 0.231], [0.754, 0.769, 0.769], [0.000, 0.187, 0.813], [0.000, 0.813, 0.187], [0.744, 0.046, 0.405], [0.256, 0.595, 0.954], [0.256, 0.954, 0.595], [0.744, 0.405, 0.046], [0.500, 0.000, 0.000], [0.268, 0.542, 0.542], [0.732, 0.458, 0.458]]}

=====

Entry 3:
{"formula": "CoNi2Ir", "functional": "PBE", "state": "optimized geometry", "de_polymorph_ev_per_atom": 0.009, "space_group": "No. 12", "formation_energy_mev_per_atom": 34, "vol_a3_per_atom": 11.99, "lattice_angstrom": [[4.449, 0.004, -0.005], [3.691, 2.484, -0.005], [0.782, 0.239, 4.345]], "species": ["Ni", "Ni", "Ir", "Co"], "frac_coords": [[0.999, 0.999, 0.006], [0.501, 0.501, 0.494], [0.750, 0.750, 0.750], [0.250, 0.250, 0.250]]}

=====

Entry 4:
{"formula": "Co2NiIr", "functional": "PBE", "state": "optimized geometry", "space_group": "No. 47", "formation_energy_mev_per_atom": 47, "vol_a3_per_atom": 11.97, "lattice_angstrom": [[-1.104, -0.829, 2.193], [-0.307, -3.308, -1.405], [4.615, -1.218, 1.862]], "species": ["Ni", "Ir", "Co", "Co"], "frac_coords": [[0.500, 0.500, 0.750], [0.500, 0.500, 0.250], [0.000, 0.000, 0.991], [0.000, 0.000, 0.509]]}

=====

| no. | density (Mg/m³) |
| --- | --- |
| 1 | 12.71 |
| 2 | 16.51 |
| 3 | 12.76 |
| 4 | 12.79 |